DFT (SCAN) results for BaGdCuS3 at its PBEsol-relaxed geometry.

Results
SG: No. 63
ΔE_f (raw): -1.917 eV/atom

Cell and atoms, written as POSCAR:
```
BaGdCuS3
1.0
1.9921 -6.6734 0.0000
1.9921 6.6734 0.0000
0.0000 0.0000 10.1972
Ba Gd Cu S
2 2 2 6
direct
0.2437 0.7563 0.7500
0.7563 0.2437 0.2500
0.5000 0.5000 0.0000
0.5000 0.5000 0.5000
0.0316 0.9684 0.2500
0.9684 0.0316 0.7500
0.1331 0.8669 0.0661
0.1331 0.8669 0.4339
0.4345 0.5655 0.2500
0.5655 0.4345 0.7500
0.8669 0.1331 0.5661
0.8669 0.1331 0.9339
```

DFT (SCAN) results for BaGdCuSe3 at its PBEsol-relaxed geometry.

Results
SG: No. 63
ΔE_f (raw): -1.759 eV/atom

Cell and atoms, written as POSCAR:
```
BaGdCuSe3
1.0
2.0692 -6.9170 0.0000
2.0692 6.9170 0.0000
0.0000 0.0000 10.5964
Ba Gd Cu Se
2 2 2 6
direct
0.2464 0.7536 0.7500
0.7536 0.2464 0.2500
0.5000 0.5000 0.0000
0.5000 0.5000 0.5000
0.0316 0.9684 0.2500
0.9684 0.0316 0.7500
0.1358 0.8642 0.0638
0.1358 0.8642 0.4362
0.4317 0.5683 0.2500
0.5683 0.4317 0.7500
0.8642 0.1358 0.5638
0.8642 0.1358 0.9362
```